No. 1
The following is a PBE calculation of a relaxed structure of Pm8Nd2Mg, from Alexandria via LeMat-Bulk.

Cell: 6.0505 8.2767 8.2767 Å, 86.49 80.13 80.13°
Sites, in units of the cell vectors:
Pm (0.7907, 0.1369, 0.6540)
Pm (0.2093, 0.3460, 0.8631)
Pm (0.9069, 0.2692, 0.2692)
Pm (0.0931, 0.7308, 0.7308)
Pm (0.7907, 0.6540, 0.1369)
Pm (0.2093, 0.8631, 0.3460)
Pm (0.2876, 0.4225, 0.4225)
Pm (0.7124, 0.5775, 0.5775)
Nd (0.5088, 0.1390, 0.1390)
Nd (0.4912, 0.8610, 0.8610)
Mg (0.0000, 0.0000, 0.0000)

## Properties
spin magnetization = 0.00 μB/atom
calculated volume = 402 Å³/cell
energy relative to the elements = 0.368 eV/atom
space group = C2/m, No. 12
energy above the lowest structure with this stoichiometry = 0.266 eV/atom

No. 2
The following is a PBE calculation of a relaxed structure of Ho3Al2Ga, from Alexandria via LeMat-Bulk.

Cell: 3.5543 3.5543 10.8469 Å, 90.00 90.00 90.00°
Sites, in units of the cell vectors:
Ho (0.0000, 0.0000, 0.0000)
Ho (0.0000, 0.0000, 0.6642)
Ho (0.0000, 0.0000, 0.3358)
Al (0.5000, 0.5000, 0.8328)
Al (0.5000, 0.5000, 0.1672)
Ga (0.5000, 0.5000, 0.5000)

## Properties
spin magnetization = 0.00 μB/atom
calculated volume = 137 Å³/cell
energy relative to the elements = -0.456 eV/atom
space group = P4/mmm, No. 123

No. 3
The following is a PBE calculation of a relaxed structure of CaLa2Nd3Te6, from Alexandria via LeMat-Bulk.

Cell: 4.5068 9.1004 10.1242 Å, 102.94 102.86 90.00°
Sites, in units of the cell vectors:
Ca (0.5000, 0.0000, 0.0000)
La (0.8312, 0.6638, 0.6624)
La (0.1688, 0.3362, 0.3376)
Nd (0.5000, 0.5000, 0.0000)
Nd (0.8306, 0.1700, 0.6612)
Nd (0.1694, 0.8300, 0.3388)
Te (0.3364, 0.9231, 0.6728)
Te (0.6641, 0.5845, 0.3283)
Te (0.6636, 0.0769, 0.3272)
Te (0.9987, 0.2452, 0.9975)
Te (0.0013, 0.7548, 0.0025)
Te (0.3359, 0.4155, 0.6717)

## Properties
formation energy from raw total energies = -1.515 eV/atom
spin magnetization = 0.00 μB/atom
calculated volume = 394 Å³/cell
space group = C2/m, No. 12

No. 4
The following is a PBE calculation of a relaxed structure of Cs8RbO2, from Alexandria via LeMat-Bulk.

Cell: 6.4099 9.1364 13.7765 Å, 70.63 92.94 98.88°
Sites, in units of the cell vectors:
Cs (0.9664, 0.0470, 0.3566)
Cs (0.9664, 0.4036, 0.6434)
Cs (0.1782, 0.3339, 0.0000)
Cs (0.5000, 0.7241, 0.5517)
Cs (0.5000, 0.2759, 0.4483)
Cs (0.8218, 0.6661, 0.0000)
Cs (0.0336, 0.5964, 0.3566)
Cs (0.0336, 0.9530, 0.6434)
Rb (0.5000, 0.0000, 0.0000)
O (0.0000, 0.2562, 0.4876)
O (0.0000, 0.7438, 0.5124)

## Properties
formation energy from raw total energies = -0.435 eV/atom
spin magnetization = 0.00 μB/atom
calculated volume = 752 Å³/cell
space group = C2/m, No. 12

No. 5
The following is a PBE calculation of a relaxed structure of K4AlP, from Alexandria via LeMat-Bulk.

Cell: 8.2633 8.2633 10.3878 Å, 90.00 90.00 90.00°
Site moments in Bohr magnetons follow the coordinates.
Sites, in units of the cell vectors:
P (0.5000, 0.0000, 0.5000)  0.66
P (0.0000, 0.5000, 0.5000)  0.66
K (0.3552, 0.1448, 0.0000)  0.02
K (0.6448, 0.8552, 0.0000)  0.02
K (0.8552, 0.3552, 0.0000)  0.02
K (0.1448, 0.6448, 0.0000)  0.02
K (0.0000, 0.0000, 0.3330)  0.01
K (0.5000, 0.5000, 0.6670)  0.01
K (0.0000, 0.0000, 0.6670)  0.01
K (0.5000, 0.5000, 0.3330)  0.01
Al (0.0000, 0.0000, 0.0000)  0.12
Al (0.5000, 0.5000, 0.0000)  0.12

## Properties
spin magnetization = 0.46 μB/atom
calculated volume = 709 Å³/cell
energy relative to the elements = 0.658 eV/atom
space group = P4/mbm, No. 127
energy above the lowest structure with this stoichiometry = 0.059 eV/atom

No. 6
The following is a PBE calculation of a relaxed structure of Nd2YPb9, from Alexandria via LeMat-Bulk.

Cell: 4.9199 4.9199 14.7348 Å, 90.00 90.00 90.00°
Sites, in units of the cell vectors:
Nd (0.0000, 0.0000, 0.3326)
Nd (0.0000, 0.0000, 0.6674)
Y (0.0000, 0.0000, 0.0000)
Pb (0.5000, 0.5000, 0.0000)
Pb (0.5000, 0.5000, 0.3318)
Pb (0.5000, 0.5000, 0.6682)
Pb (0.5000, 0.0000, 0.1636)
Pb (0.5000, 0.0000, 0.5000)
Pb (0.5000, 0.0000, 0.8364)
Pb (0.0000, 0.5000, 0.1636)
Pb (0.0000, 0.5000, 0.5000)
Pb (0.0000, 0.5000, 0.8364)

## Properties
spin magnetization = 0.00 μB/atom
calculated volume = 357 Å³/cell
energy relative to the elements = -0.346 eV/atom
space group = P4/mmm, No. 123

spin magnetization of number 2 (Ho3Al2Ga)? 0.00 μB/atom

Which formula does entry 1 have? Pm8Nd2Mg

Which formula does entry 6 have? Nd2YPb9